## CsTi3Si2P6O25 (PBEsol)

Data for a relaxed CsTi3Si2P6O25 crystal.

Results
As for the raw formation energy: -2.554 eV per atom. The total magnetic moment comes out at 2.12 μB per cell.

Cell and atoms, written as extended XYZ:
```
74
Lattice="-1.8314 4.3421 6.8193 1.6736 -8.0986 0.5681 16.8557 3.6383 2.2101" Properties=species:S:1:pos:R:3 pbc="T T T"
Cs 11.9787 2.9239 6.3932
Cs 4.7192 -3.0421 3.2044
Ti 15.8152 3.7520 6.8962
Ti 8.1423 2.0958 5.8902
Ti 0.8827 -3.8702 2.7013
Ti 8.5557 -2.2140 3.7074
Ti 13.1470 -1.2230 4.3095
Ti 3.5509 1.1048 5.2881
Si 15.3085 3.3043 2.0073
Si 9.9751 2.1531 1.3079
Si 1.5472 0.3340 0.2029
Si 6.8807 1.4852 0.9022
P 15.4764 -1.7652 6.7016
P 15.0508 1.5691 4.4579
P 16.0374 -1.9352 2.7029
P 11.2441 -4.0153 4.1550
P 10.8162 -0.6755 1.9200
P 10.2574 -0.5158 5.9193
P 1.2215 1.6470 2.8960
P 1.6471 -1.6873 5.1397
P 0.6605 1.8169 6.8947
P 5.4538 3.8971 5.4425
P 5.8817 0.5573 7.6776
P 6.4405 0.3975 3.6782
O 14.5384 3.2552 8.2981
O 14.4524 4.9528 6.1592
O 15.0700 2.3175 5.7877
O 9.6412 0.8550 5.6544
O 9.1790 3.4445 4.9164
O 8.9912 2.7186 7.5435
O 2.1595 -3.3734 1.2995
O 2.2455 -5.0710 3.4384
O 1.6279 -2.4357 3.8099
O 7.0567 -0.9732 3.9432
O 7.5189 -3.5627 4.6812
O 7.7067 -2.8368 2.0541
O 9.5556 -0.7876 2.7754
O 10.0534 -3.4591 3.3762
O 9.4015 -1.6737 5.4091
O 16.4031 0.9653 4.0829
O 16.4524 -0.6427 6.3539
O 17.0164 -1.7401 3.8593
O 7.1423 0.6694 6.8222
O 6.6445 3.3409 6.2214
O 7.2964 1.5554 4.1885
O 0.2948 -1.0836 5.5147
O 0.2455 0.5245 3.2437
O -0.3185 1.6219 5.7383
O 14.2286 -1.8019 5.8319
O 13.8969 0.5777 4.4441
O 14.5762 -1.7409 3.0799
O 12.3687 -3.0152 4.3782
O 12.1157 -0.8222 2.6975
O 11.6961 -0.5353 5.4252
O 2.4694 1.6837 3.7657
O 2.8010 -0.6959 5.1535
O 2.1217 1.6227 6.5177
O 4.3292 2.8970 5.2194
O 4.5822 0.7039 6.9001
O 5.0018 0.4171 4.1724
O 0.0000 0.0000 0.0000
O 8.4279 1.8192 1.1051
O 14.3016 0.8907 9.0536
O 13.2597 6.5982 7.6041
O 14.6718 2.6421 3.3476
O 10.3733 -0.6549 7.4989
O 10.2273 2.9286 2.7135
O 9.0385 5.1389 8.1415
O 2.3963 -1.0089 0.5440
O 3.4382 -6.7164 1.9935
O 2.0261 -2.7603 6.2500
O 6.3246 0.5367 2.0987
O 6.4706 -3.0468 6.8841
O 7.6594 -5.2571 1.4561
```